Entry 1:
# TmHfBeCu

TmHfBeCu after structural relaxation (PBE, Alexandria).

Lattice parameters (Å, degrees): 4.654 4.654 4.654 60.00 60.00 60.00
Site moments in Bohr magnetons follow the coordinates.
Fractional positions:
Be 0.750 0.750 0.750  0.01
Tm 0.000 0.000 0.000  0.21
Hf 0.500 0.500 0.500  0.26
Cu 0.250 0.250 0.250  0.07

Calculated values
space-group type	F-43m
total magnetization	0.7	μB per cell
E	-22.2	eV for the cell shown
D(E_F)	3.884	states/eV per cell

---

Entry 2:
# BeCu2Hg

BeCu2Hg after structural relaxation (PBE, Alexandria).

Lattice parameters (Å, degrees): 4.750 4.750 4.387 70.49 70.49 36.01
Fractional positions:
Be 0.733 0.733 0.762
Hg 0.479 0.479 0.533
Cu 0.027 0.027 0.998
Cu 0.262 0.262 0.207

Calculated values
space-group type	Cm
ΔE to the lowest computed polymorph	118.9	meV per atom
total magnetization	0.0	μB per cell
E	-11.3	eV for the cell shown
D(E_F)	0.575	states/eV per cell

---

Entry 3:
# BeCuHg2

BeCuHg2 after structural relaxation (PBE, Alexandria).

Lattice parameters (Å, degrees): 5.114 5.114 5.114 134.93 134.93 65.64
Fractional positions:
Be 0.500 0.500 0.000
Hg 0.000 0.000 0.000
Hg 0.250 0.750 0.500
Cu 0.750 0.250 0.500

Calculated values
space-group type	I-4m2
total magnetization	0.0	μB per cell
E	-6.6	eV for the cell shown
D(E_F)	1.303	states/eV per cell

---

Entry 4:
# BeCu2Hg

BeCu2Hg after structural relaxation (PBE, Alexandria).

Lattice parameters (Å, degrees): 2.982 2.982 6.070 90.00 90.00 90.00
Fractional positions:
Be 0.500 0.500 0.812
Hg 0.000 0.000 0.512
Cu 0.000 0.000 0.973
Cu 0.500 0.500 0.203

Calculated values
space-group type	P4mm
ΔE to the lowest computed polymorph	47.5	meV per atom
total magnetization	0.0	μB per cell
E	-11.6	eV for the cell shown
D(E_F)	0.799	states/eV per cell

---

Entry 5:
# BeCu2Hg

BeCu2Hg after structural relaxation (PBE, Alexandria).

Lattice parameters (Å, degrees): 8.359 8.359 8.359 19.42 19.42 19.42
Fractional positions:
Be 0.750 0.750 0.750
Hg 0.250 0.250 0.250
Cu 0.016 0.016 0.016
Cu 0.484 0.484 0.484

Calculated values
space-group type	R-3m
ΔE to the lowest computed polymorph	161.5	meV per atom
total magnetization	0.0	μB per cell
E	-11.2	eV for the cell shown
D(E_F)	1.553	states/eV per cell

---

Entry 6:
# BeCu2Hg

BeCu2Hg after structural relaxation (PBE, Alexandria).

Lattice parameters (Å, degrees): 5.125 5.125 4.284 62.54 62.54 32.79
Fractional positions:
Be 0.750 0.750 0.750
Hg 0.250 0.250 0.250
Cu 0.032 0.032 0.970
Cu 0.468 0.468 0.530

Calculated values
space-group type	C2/m
ΔE to the lowest computed polymorph	77.9	meV per atom
total magnetization	0.0	μB per cell
E	-11.5	eV for the cell shown
D(E_F)	0.516	states/eV per cell

---

Entry 7:
# BeCu2Hg

BeCu2Hg after structural relaxation (PBE, Alexandria).

Lattice parameters (Å, degrees): 4.733 4.733 4.733 133.99 133.99 67.11
Fractional positions:
Be 0.750 0.250 0.500
Hg 0.250 0.750 0.500
Cu 0.000 0.000 0.000
Cu 0.500 0.500 0.000

Calculated values
space-group type	I4/mmm
ΔE to the lowest computed polymorph	112.5	meV per atom
total magnetization	0.0	μB per cell
E	-11.3	eV for the cell shown
D(E_F)	0.849	states/eV per cell

---

Entry 8:
# BeCuHg2

BeCuHg2 after structural relaxation (PBE, Alexandria).

Lattice parameters (Å, degrees): 5.066 5.066 3.120 75.65 75.65 106.46
Fractional positions:
Be 0.500 0.000 0.500
Hg 0.000 0.000 0.000
Hg 0.500 0.500 0.000
Cu 0.000 0.500 0.500

Calculated values
space-group type	C2/m
total magnetization	0.0	μB per cell
E	-6.5	eV for the cell shown
D(E_F)	0.899	states/eV per cell